Material: MnCdNF2
Method: DFT, GGA+U
State: optimized geometry

Lattice parameters (Å, degrees): 4.289 4.289 4.455 90.00 90.00 90.00
Space group P4/mmm (No. 123)
Symmetry-distinct sites (fractional):
1 Mn 0.000 0.000 0.000
2 Cd 0.500 0.500 0.500
3 N 0.500 0.500 0.000
4 F 0.000 0.500 0.500

DOS at the Fermi energy = 1.9 states/eV/f.u.
DFT total energy = -4.44 eV per atom
Energy above the lowest structure with this stoichiometry = 577.2 meV/atom